# KPm2HgO5 PBE relaxed
data_KPm2HgO5
_cell_length_a 6.8149
_cell_length_b 6.8149
_cell_length_c 7.9620
_cell_angle_alpha 115.34
_cell_angle_beta 115.34
_cell_angle_gamma 90.00
_space_group_name_H-M_alt 'P 1'
_space_group_IT_number 1
loop_
_space_group_symop_operation_xyz
'x,y,z'
loop_
_atom_site_label
_atom_site_fract_x
_atom_site_fract_y
_atom_site_fract_z
K1 0.2500 0.2500 0.5000
K2 0.7500 0.7500 0.5000
Pm1 0.1709 0.3291 0.0000
Pm2 0.6709 0.1709 0.0000
Pm3 0.3291 0.8291 0.0000
Pm4 0.8291 0.6709 0.0000
Hg1 0.2500 0.7500 0.5000
Hg2 0.7500 0.2500 0.5000
O1 0.9701 0.4701 0.2241
O2 0.7460 0.2460 0.7759
O3 0.0299 0.5299 0.7759
O4 0.2460 0.0299 0.7759
O5 0.5299 0.7460 0.7759
O6 0.7540 0.9701 0.2241
O7 0.4701 0.2540 0.2241
O8 0.2540 0.7540 0.2241
O9 0.5000 0.5000 0.0000
O10 0.0000 0.0000 0.0000
# Mass density: 6.88 g/cm³
# M_tot: 0.965 μB/f.u.
# Energy relative to the elements, uncorrected: -2072.7 meV/atom
# Total energy: -0.444 Ry per atom